Record 1
A relaxed ZnSnSb2Te crystal, computed with PBE.

a = 5.7174 Å, b = 5.7174 Å, c = 5.7261 Å
α = 90.00°, β = 90.00°, γ = 90.00°
With the nearest neighbours (Å) after each atom.
Fractional coordinates of all 5 atoms:
Te 0.0000 0.0000 0.5000  2 Sn 2.86
Sn 0.0000 0.0000 0.0000  4 Sb 2.86, 2 Te 2.86
Sb 0.0000 0.5000 0.0000  2 Sn 2.86
Sb 0.5000 0.0000 0.0000  2 Sn 2.86
Zn 0.5000 0.5000 0.5000  4 Te 4.04, 8 Sb 4.05

## Properties
* space group: P4/mmm, No. 123
* ρ: 4.9 g cm⁻³
* distance to the lowest polymorph of the same formula: 362 meV per atom


Record 2
A relaxed ZrSnSb2Te crystal, computed with PBE.

a = 5.4959 Å, b = 5.4959 Å, c = 5.5605 Å
α = 90.00°, β = 90.00°, γ = 90.00°
With the nearest neighbours (Å) after each atom.
Fractional coordinates of all 5 atoms:
Zr 0.5000 0.5000 0.5000  4 Te 3.89, 8 Sb 3.91
Sb 0.5000 0.0000 0.0000  2 Sn 2.75
Sb 0.0000 0.5000 0.0000  2 Sn 2.75
Sn 0.0000 0.0000 0.0000  4 Sb 2.75, 2 Te 2.78
Te 0.0000 0.0000 0.5000  2 Sn 2.78

## Properties
* space group: P4/mmm, No. 123
* ρ: 5.7 g cm⁻³
* distance to the lowest polymorph of the same formula: 691 meV per atom


Record 3
A relaxed ZrSnSbTe2 crystal, computed with PBE.

a = 5.5384 Å, b = 5.5384 Å, c = 5.5343 Å
α = 90.00°, β = 90.00°, γ = 90.00°
With the nearest neighbours (Å) after each atom.
Fractional coordinates of all 5 atoms:
Te 0.0000 0.5000 0.0000  2 Sn 2.77
Te 0.5000 0.0000 0.0000  2 Sn 2.77
Sn 0.0000 0.0000 0.0000  2 Sb 2.77, 4 Te 2.77
Sb 0.0000 0.0000 0.5000  2 Sn 2.77
Zr 0.5000 0.5000 0.5000  8 Te 3.91, 4 Sb 3.92

## Properties
* space group: P4/mmm, No. 123
* ρ: 5.7 g cm⁻³
* distance to the lowest polymorph of the same formula: 718 meV per atom


Record 4
A relaxed ZrSnSb2Te crystal, computed with PBE.

a = 5.5949 Å, b = 5.5949 Å, c = 5.5237 Å
α = 90.00°, β = 90.00°, γ = 90.00°
With the nearest neighbours (Å) after each atom.
Fractional coordinates of all 5 atoms:
Sb 0.0000 0.5000 0.0000  2 Zr 2.80
Sb 0.5000 0.0000 0.0000  2 Zr 2.80
Sn 0.5000 0.5000 0.5000  8 Sb 3.93, 4 Te 3.96
Zr 0.0000 0.0000 0.0000  2 Te 2.76, 4 Sb 2.80
Te 0.0000 0.0000 0.5000  2 Zr 2.76

## Properties
* space group: P4/mmm, No. 123
* ρ: 5.6 g cm⁻³
* distance to the lowest polymorph of the same formula: 0 meV per atom


Record 5
A relaxed ZrSnSbTe2 crystal, computed with PBE.

a = 5.5699 Å, b = 5.5699 Å, c = 5.6383 Å
α = 90.00°, β = 90.00°, γ = 90.00°
With the nearest neighbours (Å) after each atom.
Fractional coordinates of all 5 atoms:
Te 0.0000 0.5000 0.0000  2 Zr 2.78
Te 0.5000 0.0000 0.0000  2 Zr 2.78
Zr 0.0000 0.0000 0.0000  4 Te 2.78, 2 Sb 2.82
Sn 0.5000 0.5000 0.5000  4 Sb 3.94, 8 Te 3.96
Sb 0.0000 0.0000 0.5000  2 Zr 2.82

## Properties
* space group: P4/mmm, No. 123
* ρ: 5.6 g cm⁻³
* distance to the lowest polymorph of the same formula: 0 meV per atom


Record 6
A relaxed Th5SnSb4 crystal, computed with PBE.

a = 4.5132 Å, b = 4.5132 Å, c = 16.2672 Å
α = 97.97°, β = 97.97°, γ = 90.00°
With the nearest neighbours (Å) after each atom.
Fractional coordinates of all 10 atoms:
Th 0.7003 0.7003 0.4007  6 Sb 3.19
Th 0.9003 0.9003 0.8006  1 Sn 3.18, 5 Sb 3.19
Th 0.0997 0.0997 0.1994  1 Sn 3.18, 5 Sb 3.19
Th 0.5000 0.5000 0.0000  4 Sn 3.19, 2 Sb 3.20
Th 0.2997 0.2997 0.5993  6 Sb 3.19
Sb 0.6002 0.6002 0.2005  6 Th 3.19-3.20
Sb 0.3998 0.3998 0.7995  6 Th 3.19-3.20
Sb 0.8002 0.8002 0.6005  6 Th 3.19
Sb 0.1998 0.1998 0.3995  6 Th 3.19
Sn 0.0000 0.0000 0.0000  6 Th 3.18-3.19

## Properties
* space group: I4/mmm, No. 139
* ρ: 9.0 g cm⁻³


Record 7
A relaxed Th5SnSb4 crystal, computed with PBE.

a = 6.3799 Å, b = 7.8176 Å, c = 7.8176 Å
α = 80.42°, β = 65.92°, γ = 65.92°
With the nearest neighbours (Å) after each atom.
Fractional coordinates of all 10 atoms:
Sn 0.0014 0.0000 0.0000  6 Th 3.18-3.19
Sb 0.8015 0.7989 0.6000  6 Th 3.19-3.20
Sb 0.4016 0.4000 0.7989  6 Th 3.19-3.20
Sb 0.2004 0.2011 0.4000  6 Th 3.19-3.20
Sb 0.6004 0.6000 0.2011  6 Th 3.19-3.20
Th 0.9009 0.3987 0.8014  1 Sn 3.18, 5 Sb 3.19-3.20
Th 0.1010 0.6013 0.1986  1 Sn 3.18, 5 Sb 3.19-3.20
Th 0.7023 0.1986 0.3987  1 Sn 3.18, 5 Sb 3.19-3.20
Th 0.2996 0.8014 0.6013  1 Sn 3.18, 5 Sb 3.19-3.20
Th 0.5013 0.0000 0.0000  2 Sn 3.19, 4 Sb 3.20

## Properties
* space group: I4/m, No. 87
* ρ: 9.0 g cm⁻³


Record 8
A relaxed Th4SnSb3 crystal, computed with PBE.

a = 4.5130 Å, b = 7.8198 Å, c = 7.8198 Å
α = 109.44°, β = 90.00°, γ = 90.00°
With the nearest neighbours (Å) after each atom.
Fractional coordinates of all 8 atoms:
Sb 0.5000 0.5000 0.5000  6 Th 3.20
Sb 0.0000 0.0000 0.5000  6 Th 3.19
Sb 0.0000 0.5000 0.0000  6 Th 3.19
Sn 0.5000 0.0000 0.0000  6 Th 3.18
Th 0.0000 0.7518 0.7518  2 Sn 3.18, 4 Sb 3.19-3.20
Th 0.5000 0.2491 0.7509  1 Sn 3.18, 5 Sb 3.19-3.20
Th 0.0000 0.2482 0.2482  2 Sn 3.18, 4 Sb 3.19-3.20
Th 0.5000 0.7509 0.2491  1 Sn 3.18, 5 Sb 3.19-3.20

## Properties
* space group: Cmmm, No. 65
* ρ: 9.0 g cm⁻³


Record 9
A relaxed ThSnSb2 crystal, computed with PBE.

a = 4.1452 Å, b = 4.1452 Å, c = 6.6024 Å
α = 90.00°, β = 90.00°, γ = 90.00°
With the nearest neighbours (Å) after each atom.
Fractional coordinates of all 4 atoms:
Sn 0.5000 0.5000 0.0000  2 Th 3.30, 8 Sb 3.39
Th 0.5000 0.5000 0.5000  2 Sn 3.30, 8 Sb 3.34
Sb 0.0000 0.0000 0.2571  2 Sb 3.21-3.39, 4 Th 3.34, 4 Sn 3.39
Sb 0.0000 0.0000 0.7429  2 Sb 3.21-3.39, 4 Th 3.34, 4 Sn 3.39

## Properties
* space group: P4/mmm, No. 123
* ρ: 8.7 g cm⁻³
* distance to the lowest polymorph of the same formula: 36 meV per atom


Record 10
A relaxed ThSnSb2 crystal, computed with PBE.

a = 4.2418 Å, b = 5.0840 Å, c = 5.0840 Å
α = 90.00°, β = 90.00°, γ = 90.00°
With the nearest neighbours (Å) after each atom.
Fractional coordinates of all 4 atoms:
Sn 0.5000 0.0000 0.0000  8 Sb 3.31, 4 Th 3.59
Sb 0.0000 0.5000 0.0000  4 Sn 3.31, 4 Th 3.31, 4 Sb 3.59
Sb 0.0000 0.0000 0.5000  4 Th 3.31, 4 Sn 3.31, 4 Sb 3.59
Th 0.5000 0.5000 0.5000  8 Sb 3.31, 4 Sn 3.59

## Properties
* space group: P4/mmm, No. 123
* ρ: 9.0 g cm⁻³
* distance to the lowest polymorph of the same formula: 2 meV per atom


Record 11
A relaxed ThSnSb2 crystal, computed with PBE.

a = 4.4031 Å, b = 4.4031 Å, c = 9.8266 Å
α = 77.05°, β = 77.05°, γ = 60.00°
With the nearest neighbours (Å) after each atom.
Fractional coordinates of all 4 atoms:
Sb 0.8987 0.8987 0.3040  1 Sn 2.89, 3 Th 3.15
Sb 0.1013 0.1013 0.6960  1 Sn 2.89, 3 Th 3.15
Sn 0.0000 0.0000 0.0000  2 Sb 2.89
Th 0.5000 0.5000 0.5000  6 Sb 3.15

## Properties
* space group: R-3m, No. 166
* ρ: 6.2 g cm⁻³
* distance to the lowest polymorph of the same formula: 541 meV per atom


Record 12
A relaxed ThSnSb2 crystal, computed with PBE.

a = 4.4245 Å, b = 4.4245 Å, c = 11.8307 Å
α = 90.00°, β = 90.00°, γ = 90.00°
With the nearest neighbours (Å) after each atom.
Fractional coordinates of all 8 atoms:
Sb 0.5000 0.0000 0.2291  4 Th 3.20, 4 Sn 3.50
Sb 0.5000 0.5000 0.5000  4 Sb 3.13, 4 Th 3.36
Sb 0.0000 0.0000 0.5000  4 Sb 3.13, 4 Th 3.36
Sb 0.0000 0.5000 0.7709  4 Th 3.20, 4 Sn 3.50
Sn 0.0000 0.0000 0.0000  4 Sn 3.13, 4 Sb 3.50
Sn 0.5000 0.5000 0.0000  4 Sn 3.13, 4 Sb 3.50
Th 0.0000 0.5000 0.2862  8 Sb 3.20-3.36
Th 0.5000 0.0000 0.7138  8 Sb 3.20-3.36

## Properties
* space group: P4/nmm, No. 129
* ρ: 8.5 g cm⁻³
* distance to the lowest polymorph of the same formula: 0 meV per atom


It is found that the energy relative to the elements, uncorrected values, taken in the order of the records, are 0.766; 0.861; 0.748; 0.170; 0.030; -0.829; -0.829; -0.811; -0.469; -0.504; 0.035; -0.506 eV per atom.
It is found that the N(E_F) values, taken in the order of the records, are 1.2255; 1.0813; 0.9374; 0.8048; 0.5510; 0.6181; 0.7491; 0.6085; 0.6834; 0.3394; 0.9153; 0.3116 states/eV per atom.
It is found that the total magnetic moment values, taken in the order of the records, are 0.07; 0.00; 0.00; 0.00; 0.00; 0.00; 0.00; 0.00; 0.00; 0.00; 0.00; 0.00 μB per atom.